Record 1
# meta-GGA SCAN MnRe2Mo, PBEsol geometry
# E_form in meV per atom: -34
# ΔE to the lowest computed polymorph in kJ/mol of atoms: 0.0
data_MnRe2Mo
_chemical_formula_sum 'Mn1 Re2 Mo1'
_cell_length_a 3.113
_cell_length_b 4.267
_cell_length_c 4.271
_cell_angle_alpha 90.00
_cell_angle_beta 90.00
_cell_angle_gamma 90.00
_symmetry_space_group_name_H-M 'P m m m'
_symmetry_Int_Tables_number 47
loop_
_symmetry_equiv_pos_as_xyz
'x,y,z'
'-x,-y,-z'
'-x,-y,z'
'x,y,-z'
'x,-y,-z'
'-x,y,z'
'-x,y,-z'
'x,-y,z'
loop_
_atom_site_label
_atom_site_type_symbol
_atom_site_fract_x
_atom_site_fract_y
_atom_site_fract_z
Mn1 Mn 0.000 0.000 0.000
Re1 Re 0.000 0.500 0.500
Re2 Re 0.500 0.000 0.500
Mo1 Mo 0.500 0.500 0.000

Record 2
# meta-GGA SCAN TlCoTc2, PBEsol geometry
# E_form in meV per atom: 764
# ΔE to the lowest computed polymorph in kJ/mol of atoms: 40.7
data_TlCoTc2
_chemical_formula_sum 'Tl2 Co2 Tc4'
_cell_length_a 5.056
_cell_length_b 8.273
_cell_length_c 2.849
_cell_angle_alpha 90.00
_cell_angle_beta 90.00
_cell_angle_gamma 90.00
_symmetry_space_group_name_H-M 'C m m m'
_symmetry_Int_Tables_number 65
_symmetry_space_group_name_Hall '-C 2 2'
loop_
_atom_site_label
_atom_site_type_symbol
_atom_site_fract_x
_atom_site_fract_y
_atom_site_fract_z
Tl1 Tl 0.000 0.000 0.000
Co1 Co 0.000 0.500 0.000
Tc1 Tc 0.250 0.250 0.500

Record 3
# meta-GGA SCAN ZrZnIn2, PBEsol geometry
# E_form in meV per atom: -373
data_ZrZnIn2
_chemical_formula_sum 'Zr1 Zn1 In2'
_cell_length_a 4.276
_cell_length_b 4.276
_cell_length_c 4.242
_cell_angle_alpha 90.00
_cell_angle_beta 90.00
_cell_angle_gamma 90.00
_symmetry_space_group_name_H-M 'P 4/m m m'
_symmetry_Int_Tables_number 123
_symmetry_space_group_name_Hall '-P 4 2'
loop_
_atom_site_label
_atom_site_type_symbol
_atom_site_fract_x
_atom_site_fract_y
_atom_site_fract_z
Zr1 Zr 0.000 0.000 0.000
Zn1 Zn 0.500 0.500 0.000
In1 In 0.000 0.500 0.500

Record 4
# meta-GGA SCAN Zn2MoOs, PBEsol geometry
# E_form in meV per atom: 222
# ΔE to the lowest computed polymorph in kJ/mol of atoms: 20.0
data_Zn2MoOs
_chemical_formula_sum 'Zn4 Mo2 Os2'
_cell_length_a 5.227
_cell_length_b 8.690
_cell_length_c 2.624
_cell_angle_alpha 90.00
_cell_angle_beta 108.16
_cell_angle_gamma 90.00
_symmetry_space_group_name_H-M 'C 1 2/m 1'
_symmetry_Int_Tables_number 12
loop_
_symmetry_equiv_pos_as_xyz
'x,y,z'
'-x,-y,-z'
'-x,y,-z'
'x,-y,z'
'x+1/2,y+1/2,z'
'-x+1/2,-y+1/2,-z'
'-x+1/2,y+1/2,-z'
'x+1/2,-y+1/2,z'
loop_
_atom_site_label
_atom_site_type_symbol
_atom_site_fract_x
_atom_site_fract_y
_atom_site_fract_z
Zn1 Zn 0.250 0.250 0.000
Mo1 Mo 0.000 0.000 0.500
Os1 Os 0.000 0.500 0.500

Record 5
# meta-GGA SCAN Te2Cl, PBEsol geometry
# Raw formation energy in meV per atom: -82.0
# ΔE to the lowest computed polymorph in kJ/mol of atoms: 11.7
data_Te2Cl
_chemical_formula_sum 'Te2 Cl1'
_cell_length_a 5.2373
_cell_length_b 5.2373
_cell_length_c 3.1634
_cell_angle_alpha 90.00
_cell_angle_beta 90.00
_cell_angle_gamma 120.00
_symmetry_space_group_name_H-M 'P 6/m m m'
_symmetry_Int_Tables_number 191
_symmetry_space_group_name_Hall '-P 6 2'
loop_
_atom_site_label
_atom_site_type_symbol
_atom_site_fract_x
_atom_site_fract_y
_atom_site_fract_z
Te1 Te 0.3333 0.6667 0.0000
Cl1 Cl 0.0000 0.0000 0.5000

Record 6
# meta-GGA SCAN Ca2Zn, PBEsol geometry
# E_form in meV per atom: -146
data_Ca2Zn
_chemical_formula_sum 'Ca8 Zn4'
_cell_length_a 14.568
_cell_length_b 3.807
_cell_length_c 7.163
_cell_angle_alpha 90.00
_cell_angle_beta 111.88
_cell_angle_gamma 90.00
_symmetry_space_group_name_H-M 'C 1 2/m 1'
_symmetry_Int_Tables_number 12
loop_
_symmetry_equiv_pos_as_xyz
'x,y,z'
'-x,-y,-z'
'-x,y,-z'
'x,-y,z'
'x+1/2,y+1/2,z'
'-x+1/2,-y+1/2,-z'
'-x+1/2,y+1/2,-z'
'x+1/2,-y+1/2,z'
loop_
_atom_site_label
_atom_site_type_symbol
_atom_site_fract_x
_atom_site_fract_y
_atom_site_fract_z
Ca1 Ca 0.027 0.000 0.272
Ca2 Ca 0.218 0.500 0.744
Zn1 Zn 0.106 0.500 0.045

Record 7
# meta-GGA SCAN Ba2MoIr, PBEsol geometry
# E_form in meV per atom: 325
# ΔE to the lowest computed polymorph in kJ/mol of atoms: 0.0
data_Ba2MoIr
_chemical_formula_sum 'Ba2 Mo1 Ir1'
_cell_length_a 3.551
_cell_length_b 3.551
_cell_length_c 9.678
_cell_angle_alpha 90.00
_cell_angle_beta 90.00
_cell_angle_gamma 90.00
_symmetry_space_group_name_H-M 'P 4 m m'
_symmetry_Int_Tables_number 99
loop_
_symmetry_equiv_pos_as_xyz
'x,y,z'
'-y,x,z'
'-x,-y,z'
'y,-x,z'
'-x,y,z'
'y,x,z'
'x,-y,z'
'-y,-x,z'
loop_
_atom_site_label
_atom_site_type_symbol
_atom_site_fract_x
_atom_site_fract_y
_atom_site_fract_z
Ba1 Ba 0.000 0.000 0.000
Ba2 Ba 0.500 0.500 0.410
Mo1 Mo 0.500 0.500 0.721
Ir1 Ir 0.000 0.000 0.678

Record 8
# meta-GGA SCAN MgRe2SnRu, PBEsol geometry
# E_form in meV per atom: 2489
data_MgRe2SnRu
_chemical_formula_sum 'Mg1 Re2 Sn1 Ru1'
_cell_length_a 4.482
_cell_length_b 4.482
_cell_length_c 4.653
_cell_angle_alpha 90.00
_cell_angle_beta 90.00
_cell_angle_gamma 90.00
_symmetry_space_group_name_H-M 'P 4/m m m'
_symmetry_Int_Tables_number 123
_symmetry_space_group_name_Hall '-P 4 2'
loop_
_atom_site_label
_atom_site_type_symbol
_atom_site_fract_x
_atom_site_fract_y
_atom_site_fract_z
Mg1 Mg 0.000 0.000 0.000
Re1 Re 0.000 0.500 0.000
Sn1 Sn 0.000 0.000 0.500
Ru1 Ru 0.500 0.500 0.500

Question: Number 2 is which compound?
Answer: TlCoTc2